A plane-wave DFT calculation with GGA+U was carried out for a relaxed structure of YCoO2.

Summary:
density of states at the Fermi level = 0.35 states/eV/f.u.
space group = I-42d (122)
relative energy among the computed polymorphs = 359 meV/atom

Cell lengths 4.445, 4.445, 6.632 Å; angles 70.42, 70.42, 90.00 degrees
Last column: magnetic moment on the atom in μB.
Fractional positions:
Co  0.500  0.500  0.000  1.99
Co  0.250  0.750  0.500  1.99
O  0.875  0.853  0.750  0.02
O  0.603  0.125  0.250  0.02
O  0.375  0.397  0.750  0.02
O  0.147  0.625  0.250  0.02
Y  0.750  0.250  0.500  -0.02
Y  0.000  0.000  0.000  -0.02